! CuSiNiAu2, relaxed, DFT GGA-PBEsol; values from VASP
! - Symmetry: P4/mmm
! - Magnetization: 0.21 μB per formula unit
! - Formation energy from raw total energies: 0.929 eV/atom
&SYSTEM
  ibrav = 0, nat = 5, ntyp = 4
/
ATOMIC_SPECIES
Ni 58.69 Ni.upf
Si 28.09 Si.upf
Au 196.97 Au.upf
Cu 63.55 Cu.upf
CELL_PARAMETERS angstrom
4.257 0.000 0.000
0.000 4.647 0.000
0.000 0.000 4.647
ATOMIC_POSITIONS crystal
Ni 0.000 0.000 0.000
Si 0.500 0.500 0.500
Au 0.000 0.000 0.500
Au 0.000 0.500 0.000
Cu 0.500 0.000 0.000